Material: ZrZnHgPt
Method: DFT, PBE
State: relaxed

Cell and atoms, written as CIF:
```
data_ZrZnHgPt
_chemical_formula_sum 'Zr1 Zn1 Hg1 Pt1'
_space_group_name_H-M_alt 'P 1'
_space_group_IT_number 1
_cell_length_a 4.697
_cell_length_b 4.697
_cell_length_c 4.697
_cell_angle_alpha 60.00
_cell_angle_beta 60.00
_cell_angle_gamma 60.00
loop_
_space_group_symop_operation_xyz
'x,y,z'
loop_
_atom_site_label
_atom_site_type_symbol
_atom_site_fract_x
_atom_site_fract_y
_atom_site_fract_z
Zr1 Zr 0.000 0.000 0.000
Zn1 Zn 0.500 0.500 0.500
Hg1 Hg 0.250 0.250 0.250
Pt1 Pt 0.750 0.750 0.750
```

Output
Fermi-level density of states ... 1.22 states/eV/f.u.
Formation energy ... -0.4390 eV per atom



Material: ZrHgPt
Method: DFT, PBE
State: relaxed

Cell and atoms, written as CIF:
```
data_ZrHgPt
_chemical_formula_sum 'Zr1 Hg1 Pt1'
_space_group_name_H-M_alt 'P 1'
_space_group_IT_number 1
_cell_length_a 5.188
_cell_length_b 5.188
_cell_length_c 5.188
_cell_angle_alpha 139.58
_cell_angle_beta 139.58
_cell_angle_gamma 58.50
loop_
_space_group_symop_operation_xyz
'x,y,z'
loop_
_atom_site_label
_atom_site_type_symbol
_atom_site_fract_x
_atom_site_fract_y
_atom_site_fract_z
Zr1 Zr 0.000 0.000 0.000
Hg1 Hg 0.678 0.678 0.000
Pt1 Pt 0.347 0.347 0.000
```

Output
ΔE to the lowest computed polymorph ... 0.0 meV/atom
Fermi-level density of states ... 1.40 states/eV/f.u.
Formation energy ... -0.5518 eV per atom



Material: ZrHgPt2
Method: DFT, PBE
State: relaxed

Cell and atoms, written as CIF:
```
data_ZrHgPt2
_chemical_formula_sum 'Zr1 Hg1 Pt2'
_space_group_name_H-M_alt 'P 1'
_space_group_IT_number 1
_cell_length_a 3.543
_cell_length_b 3.543
_cell_length_c 5.903
_cell_angle_alpha 90.00
_cell_angle_beta 90.00
_cell_angle_gamma 90.00
loop_
_space_group_symop_operation_xyz
'x,y,z'
loop_
_atom_site_label
_atom_site_type_symbol
_atom_site_fract_x
_atom_site_fract_y
_atom_site_fract_z
Zr1 Zr 0.000 0.000 0.000
Hg1 Hg 0.000 0.000 0.500
Pt1 Pt 0.500 0.500 0.242
Pt2 Pt 0.500 0.500 0.758
```

Output
Fermi-level density of states ... 1.79 states/eV/f.u.
Formation energy ... -0.6357 eV per atom



Material: ZrHgPt2
Method: DFT, PBE
State: relaxed

Cell and atoms, written as CIF:
```
data_ZrHgPt2
_chemical_formula_sum 'Zr1 Hg1 Pt2'
_space_group_name_H-M_alt 'P 1'
_space_group_IT_number 1
_cell_length_a 3.552
_cell_length_b 4.264
_cell_length_c 5.415
_cell_angle_alpha 90.00
_cell_angle_beta 109.05
_cell_angle_gamma 90.00
loop_
_space_group_symop_operation_xyz
'x,y,z'
loop_
_atom_site_label
_atom_site_type_symbol
_atom_site_fract_x
_atom_site_fract_y
_atom_site_fract_z
Zr1 Zr 0.000 0.000 0.000
Hg1 Hg 0.702 0.500 0.401
Pt1 Pt 0.273 0.000 0.544
Pt2 Pt 0.434 0.500 0.868
```

Output
Fermi-level density of states ... 2.05 states/eV/f.u.
Formation energy ... -0.5125 eV per atom



Material: Zr5HgPt
Method: DFT, PBE
State: relaxed

Cell and atoms, written as CIF:
```
data_Zr5HgPt
_chemical_formula_sum 'Zr10 Hg2 Pt2'
_space_group_name_H-M_alt 'P 1'
_space_group_IT_number 1
_cell_length_a 5.415
_cell_length_b 5.415
_cell_length_c 10.842
_cell_angle_alpha 100.57
_cell_angle_beta 100.57
_cell_angle_gamma 88.36
loop_
_space_group_symop_operation_xyz
'x,y,z'
loop_
_atom_site_label
_atom_site_type_symbol
_atom_site_fract_x
_atom_site_fract_y
_atom_site_fract_z
Zr1 Zr 0.005 0.995 0.750
Zr2 Zr 0.070 0.477 0.134
Zr3 Zr 0.224 0.503 0.443
Zr4 Zr 0.477 0.070 0.634
Zr5 Zr 0.497 0.776 0.057
Zr6 Zr 0.503 0.224 0.943
Zr7 Zr 0.523 0.930 0.366
Zr8 Zr 0.776 0.497 0.557
Zr9 Zr 0.930 0.523 0.866
Zr10 Zr 0.995 0.005 0.250
Hg1 Hg 0.398 0.602 0.750
Hg2 Hg 0.602 0.398 0.250
Pt1 Pt 0.000 0.000 0.000
Pt2 Pt 0.000 0.000 0.500
```

Output
Fermi-level density of states ... 8.39 states/eV/f.u.
Formation energy ... -0.2104 eV per atom



Material: ZrHgPt
Method: DFT, PBE
State: relaxed

Cell and atoms, written as CIF:
```
data_ZrHgPt
_chemical_formula_sum 'Zr1 Hg1 Pt1'
_space_group_name_H-M_alt 'P 1'
_space_group_IT_number 1
_cell_length_a 4.614
_cell_length_b 4.614
_cell_length_c 4.614
_cell_angle_alpha 60.00
_cell_angle_beta 60.00
_cell_angle_gamma 60.00
loop_
_space_group_symop_operation_xyz
'x,y,z'
loop_
_atom_site_label
_atom_site_type_symbol
_atom_site_fract_x
_atom_site_fract_y
_atom_site_fract_z
Zr1 Zr 0.000 0.000 0.000
Hg1 Hg 0.250 0.250 0.250
Pt1 Pt 0.750 0.750 0.750
```

Output
ΔE to the lowest computed polymorph ... 373.4 meV/atom
Fermi-level density of states ... 2.33 states/eV/f.u.
Formation energy ... -0.1784 eV per atom



Material: ZrHg2Pt
Method: DFT, PBE
State: relaxed

Cell and atoms, written as CIF:
```
data_ZrHg2Pt
_chemical_formula_sum 'Zr1 Hg2 Pt1'
_space_group_name_H-M_alt 'P 1'
_space_group_IT_number 1
_cell_length_a 4.823
_cell_length_b 4.823
_cell_length_c 4.823
_cell_angle_alpha 120.11
_cell_angle_beta 120.11
_cell_angle_gamma 89.80
loop_
_space_group_symop_operation_xyz
'x,y,z'
loop_
_atom_site_label
_atom_site_type_symbol
_atom_site_fract_x
_atom_site_fract_y
_atom_site_fract_z
Zr1 Zr 0.000 0.000 0.000
Hg1 Hg 0.500 0.500 0.000
Hg2 Hg 0.750 0.250 0.500
Pt1 Pt 0.250 0.750 0.500
```

Output
ΔE to the lowest computed polymorph ... 51.6 meV/atom
Fermi-level density of states ... 1.83 states/eV/f.u.
Formation energy ... -0.2914 eV per atom



Material: ZrHgPt2
Method: DFT, PBE
State: relaxed

Cell and atoms, written as CIF:
```
data_ZrHgPt2
_chemical_formula_sum 'Zr1 Hg1 Pt2'
_space_group_name_H-M_alt 'P 1'
_space_group_IT_number 1
_cell_length_a 8.004
_cell_length_b 8.004
_cell_length_c 8.004
_cell_angle_alpha 25.52
_cell_angle_beta 25.52
_cell_angle_gamma 25.52
loop_
_space_group_symop_operation_xyz
'x,y,z'
loop_
_atom_site_label
_atom_site_type_symbol
_atom_site_fract_x
_atom_site_fract_y
_atom_site_fract_z
Zr1 Zr 0.000 0.000 0.000
Hg1 Hg 0.500 0.500 0.500
Pt1 Pt 0.257 0.257 0.257
Pt2 Pt 0.743 0.743 0.743
```

Output
Fermi-level density of states ... 1.63 states/eV/f.u.
Formation energy ... -0.4747 eV per atom



Material: ZrHgPt
Method: DFT, PBE
State: relaxed

Cell and atoms, written as CIF:
```
data_ZrHgPt
_chemical_formula_sum 'Zr1 Hg1 Pt1'
_space_group_name_H-M_alt 'P 1'
_space_group_IT_number 1
_cell_length_a 4.741
_cell_length_b 4.741
_cell_length_c 2.941
_cell_angle_alpha 90.00
_cell_angle_beta 90.00
_cell_angle_gamma 120.00
loop_
_space_group_symop_operation_xyz
'x,y,z'
loop_
_atom_site_label
_atom_site_type_symbol
_atom_site_fract_x
_atom_site_fract_y
_atom_site_fract_z
Zr1 Zr 0.000 0.000 0.000
Hg1 Hg 0.333 0.667 0.500
Pt1 Pt 0.667 0.333 0.500
```

Output
ΔE to the lowest computed polymorph ... 51.7 meV/atom
Fermi-level density of states ... 2.01 states/eV/f.u.
Formation energy ... -0.5001 eV per atom



Material: ZrHg2Pt
Method: DFT, PBE
State: relaxed

Cell and atoms, written as CIF:
```
data_ZrHg2Pt
_chemical_formula_sum 'Zr1 Hg2 Pt1'
_space_group_name_H-M_alt 'P 1'
_space_group_IT_number 1
_cell_length_a 4.128
_cell_length_b 4.128
_cell_length_c 4.768
_cell_angle_alpha 90.00
_cell_angle_beta 90.00
_cell_angle_gamma 90.00
loop_
_space_group_symop_operation_xyz
'x,y,z'
loop_
_atom_site_label
_atom_site_type_symbol
_atom_site_fract_x
_atom_site_fract_y
_atom_site_fract_z
Zr1 Zr 0.000 0.000 0.000
Hg1 Hg 0.000 0.500 0.500
Hg2 Hg 0.500 0.000 0.500
Pt1 Pt 0.500 0.500 0.000
```

Output
ΔE to the lowest computed polymorph ... 144.1 meV/atom
Fermi-level density of states ... 2.38 states/eV/f.u.
Formation energy ... -0.1989 eV per atom



Material: ZrHgPt2
Method: DFT, PBE
State: relaxed

Cell and atoms, written as CIF:
```
data_ZrHgPt2
_chemical_formula_sum 'Zr2 Hg2 Pt4'
_space_group_name_H-M_alt 'P 1'
_space_group_IT_number 1
_cell_length_a 6.046
_cell_length_b 6.046
_cell_length_c 6.046
_cell_angle_alpha 103.26
_cell_angle_beta 103.26
_cell_angle_gamma 122.77
loop_
_space_group_symop_operation_xyz
'x,y,z'
loop_
_atom_site_label
_atom_site_type_symbol
_atom_site_fract_x
_atom_site_fract_y
_atom_site_fract_z
Zr1 Zr 0.000 0.000 0.000
Zr2 Zr 0.750 0.250 0.500
Hg1 Hg 0.250 0.750 0.500
Hg2 Hg 0.500 0.500 0.000
Pt1 Pt 0.107 0.125 0.482
Pt2 Pt 0.375 0.893 0.018
Pt3 Pt 0.643 0.625 0.518
Pt4 Pt 0.875 0.357 0.982
```

Output
Fermi-level density of states ... 2.07 states/eV/f.u.
Formation energy ... -0.2794 eV per atom



Material: ZrHgPt
Method: DFT, PBE
State: relaxed

Cell and atoms, written as CIF:
```
data_ZrHgPt
_chemical_formula_sum 'Zr1 Hg1 Pt1'
_space_group_name_H-M_alt 'P 1'
_space_group_IT_number 1
_cell_length_a 3.648
_cell_length_b 3.648
_cell_length_c 5.878
_cell_angle_alpha 90.00
_cell_angle_beta 90.00
_cell_angle_gamma 120.00
loop_
_space_group_symop_operation_xyz
'x,y,z'
loop_
_atom_site_label
_atom_site_type_symbol
_atom_site_fract_x
_atom_site_fract_y
_atom_site_fract_z
Zr1 Zr 0.000 0.000 0.000
Hg1 Hg 0.333 0.667 0.380
Pt1 Pt 0.667 0.333 0.732
```

Output
ΔE to the lowest computed polymorph ... 214.0 meV/atom
Fermi-level density of states ... 3.54 states/eV/f.u.
Formation energy ... -0.3378 eV per atom